! PaCoNO, optimized geometry, DFT PBE+U; values from VASP
! SG: Pmc2_1
! Excess energy over the best structure of this formula in the dataset, eV per atom: 0.962
&SYSTEM
  ibrav = 0, nat = 8, ntyp = 4
/
ATOMIC_SPECIES
Pa 231.04 Pa.upf
Co 58.93 Co.upf
N 14.01 N.upf
O 16.00 O.upf
CELL_PARAMETERS angstrom
3.892 0.000 0.000
0.000 5.404 0.000
0.000 0.000 4.878
ATOMIC_POSITIONS angstrom
Pa 0.000 1.299 0.000
Pa 0.000 4.105 2.439
Co 1.946 1.001 2.577
Co 1.946 4.404 0.138
N 0.000 1.022 2.329
N 0.000 4.382 4.768
O 1.946 2.224 4.291
O 1.946 3.181 1.852